[1]
The following is a DFT calculation (PBE) of a relaxed Pa2SbS3 crystal.

M_tot   1.005 μB/f.u.
Space group   C2/m (12)

Structure (extended XYZ):
```
12
Lattice="8.642 -2.066 0.000 8.642 2.066 0.000 -4.991 0.000 8.124" Properties=species:S:1:pos:R:3 pbc="T T T"
Pa -1.480 0.000 2.476
Pa 1.209 0.000 6.113
Pa 11.084 0.000 2.011
Pa 13.773 0.000 5.648
Sb 4.800 0.000 3.019
Sb 7.493 0.000 5.106
S 2.627 0.000 0.157
S 1.113 0.000 3.274
S 3.920 0.000 6.753
S 8.373 0.000 1.371
S 11.180 0.000 4.850
S 9.666 0.000 7.968
```

=====

[2]
The following is a DFT calculation (PBE) of a relaxed ZrCo2 crystal.

M_tot   0.346 μB/f.u.
Space group   P6/mmm (191)
Energy of formation   -0.1571 eV/atom

Structure (extended XYZ):
```
3
Lattice="3.849 0.000 0.000 -1.925 3.334 0.000 0.000 0.000 3.479" Properties=species:S:1:pos:R:3 pbc="T T T"
Zr 0.000 0.000 0.000
Co 0.000 2.222 1.739
Co 1.925 1.111 1.739
```

=====

| no. | electronic total energy (eV per atom) |
| --- | --- |
| 1 | -7.136 |
| 2 | -7.744 |